Version w
TaBiPCl2: relaxed, GGA-PBE.

Lattice parameters (Å, degrees): 5.1572 5.1572 5.7298 90.00 90.00 90.00
With the nearest neighbours (Å) after each atom.
Space group P4/mmm (No. 123)
One atom of each set of equivalent atoms:
Ta  0.0000  0.0000  0.0000  4 P 3.65, 8 Cl 3.85
Bi  0.5000  0.5000  0.5000  4 Cl 2.58, 2 P 2.86
P  0.5000  0.5000  0.0000  2 Bi 2.86
Cl  0.0000  0.5000  0.5000  2 Bi 2.58

Computed properties:
total magnetic moment	3.0	μB/cell
N(E_F)	8.99	states/eV per cell


Version x
TaBiPCl2: relaxed, GGA-PBE.

Lattice parameters (Å, degrees): 4.7672 4.7672 5.1628 90.00 90.00 90.00
With the nearest neighbours (Å) after each atom.
Space group P4/mmm (No. 123)
One atom of each set of equivalent atoms:
Ta  0.0000  0.0000  0.0000  4 Cl 2.38, 2 P 2.58
Bi  0.5000  0.5000  0.5000  4 P 3.37, 8 Cl 3.51
P  0.0000  0.0000  0.5000  2 Ta 2.58
Cl  0.0000  0.5000  0.0000  2 Ta 2.38

Computed properties:
total magnetic moment	1.1	μB/cell
N(E_F)	3.10	states/eV per cell


Q: Which of them is the most stable? A: version x.


Version w
BiTeP2Cl: relaxed, GGA-PBE.

Lattice parameters (Å, degrees): 5.1898 5.1898 4.9957 90.00 90.00 90.00
With the nearest neighbours (Å) after each atom.
Space group P4/mmm (No. 123)
One atom of each set of equivalent atoms:
Bi  0.0000  0.0000  0.0000  8 P 3.60, 4 Cl 3.67
Te  0.5000  0.5000  0.5000  2 Cl 2.50, 4 P 2.59
P  0.0000  0.5000  0.5000  2 Te 2.59
Cl  0.5000  0.5000  0.0000  2 Te 2.50

Computed properties:
total magnetic moment	0.0	μB/cell
N(E_F)	3.80	states/eV per cell


Version x
BiTeP2Cl: relaxed, GGA-PBE.

Lattice parameters (Å, degrees): 5.3788 5.3788 5.1255 90.00 90.00 90.00
With the nearest neighbours (Å) after each atom.
Space group P4/mmm (No. 123)
One atom of each set of equivalent atoms:
Bi  0.0000  0.0000  0.0000  2 Cl 2.56, 4 P 2.69
Te  0.5000  0.5000  0.5000  8 P 3.71, 4 Cl 3.80
P  0.0000  0.5000  0.0000  2 Bi 2.69
Cl  0.0000  0.0000  0.5000  2 Bi 2.56

Computed properties:
total magnetic moment	0.0	μB/cell
N(E_F)	3.95	states/eV per cell


Q: Which of them is the most stable? A: version w.


Version w
BiTePCl2: relaxed, GGA-PBE.

Lattice parameters (Å, degrees): 5.2129 5.2129 5.9192 90.00 90.00 90.00
With the nearest neighbours (Å) after each atom.
Space group P4/mmm (No. 123)
One atom of each set of equivalent atoms:
Bi  0.0000  0.0000  0.0000  4 Cl 2.61
Te  0.5000  0.5000  0.5000  4 P 3.69, 8 Cl 3.94
P  0.0000  0.0000  0.5000  2 Bi 2.96
Cl  0.0000  0.5000  0.0000  2 Bi 2.61

Computed properties:
total magnetic moment	0.7	μB/cell
N(E_F)	3.71	states/eV per cell


Version x
BiTePCl2: relaxed, GGA-PBE.

Lattice parameters (Å, degrees): 5.1710 5.1710 5.4845 90.00 90.00 90.00
With the nearest neighbours (Å) after each atom.
Space group P4/mmm (No. 123)
One atom of each set of equivalent atoms:
Bi  0.0000  0.0000  0.0000  4 P 3.66, 8 Cl 3.77
Te  0.5000  0.5000  0.5000  4 Cl 2.59, 2 P 2.74
P  0.5000  0.5000  0.0000  2 Te 2.74
Cl  0.0000  0.5000  0.5000  2 Te 2.59

Computed properties:
total magnetic moment	1.3	μB/cell
N(E_F)	2.71	states/eV per cell


Q: Which of them is the most stable? A: version w.


Version w
TlBiP2Cl: relaxed, GGA-PBE.

Lattice parameters (Å, degrees): 5.3477 5.3477 5.6555 90.00 90.00 90.00
With the nearest neighbours (Å) after each atom.
Space group P4/mmm (No. 123)
One atom of each set of equivalent atoms:
Tl  0.0000  0.0000  0.0000  4 Cl 3.78, 8 P 3.89
Bi  0.5000  0.5000  0.5000  4 P 2.67, 2 Cl 2.83
P  0.0000  0.5000  0.5000  2 Bi 2.67
Cl  0.5000  0.5000  0.0000  2 Bi 2.83

Computed properties:
total magnetic moment	1.2	μB/cell
N(E_F)	3.93	states/eV per cell


Version x
TlBiP2Cl: relaxed, GGA-PBE.

Lattice parameters (Å, degrees): 5.1589 5.1589 5.1445 90.00 90.00 90.00
With the nearest neighbours (Å) after each atom.
Space group P4/mmm (No. 123)
One atom of each set of equivalent atoms:
Tl  0.0000  0.0000  0.0000  2 Cl 2.57, 4 P 2.58
Bi  0.5000  0.5000  0.5000  8 P 3.64, 4 Cl 3.65
P  0.0000  0.5000  0.0000  2 Tl 2.58
Cl  0.0000  0.0000  0.5000  2 Tl 2.57

Computed properties:
total magnetic moment	0.0	μB/cell
N(E_F)	3.23	states/eV per cell


Q: Which of them is the most stable? A: version w.


Version w
BiP2WCl: relaxed, GGA-PBE.

Lattice parameters (Å, degrees): 5.2754 5.2754 5.0983 90.00 90.00 90.00
With the nearest neighbours (Å) after each atom.
Space group P4/mmm (No. 123)
One atom of each set of equivalent atoms:
Bi  0.0000  0.0000  0.0000  2 Cl 2.55, 4 P 2.64
P  0.0000  0.5000  0.0000  2 Bi 2.64
W  0.5000  0.5000  0.5000  8 P 3.67, 4 Cl 3.73
Cl  0.0000  0.0000  0.5000  2 Bi 2.55

Computed properties:
total magnetic moment	3.1	μB/cell
N(E_F)	2.18	states/eV per cell


Version x
BiP2WCl: relaxed, GGA-PBE.

Lattice parameters (Å, degrees): 4.8108 4.8108 4.7467 90.00 90.00 90.00
With the nearest neighbours (Å) after each atom.
Space group P4/mmm (No. 123)
One atom of each set of equivalent atoms:
Bi  0.0000  0.0000  0.0000  8 P 3.38, 4 Cl 3.40
P  0.0000  0.5000  0.5000  2 W 2.41
W  0.5000  0.5000  0.5000  2 Cl 2.37, 4 P 2.41
Cl  0.5000  0.5000  0.0000  2 W 2.37

Computed properties:
total magnetic moment	0.3	μB/cell
N(E_F)	5.87	states/eV per cell


Q: Which of them is the most stable? A: version x.


Version w
YBiPCl2: relaxed, GGA-PBE.

Lattice parameters (Å, degrees): 5.0813 5.0813 5.8209 90.00 90.00 90.00
With the nearest neighbours (Å) after each atom.
Space group P4/mmm (No. 123)
One atom of each set of equivalent atoms:
Y  0.0000  0.0000  0.0000  4 Cl 2.54
Bi  0.5000  0.5000  0.5000  4 P 3.59, 8 Cl 3.86
P  0.0000  0.0000  0.5000  2 Y 2.91
Cl  0.0000  0.5000  0.0000  2 Y 2.54

Computed properties:
total magnetic moment	1.0	μB/cell
N(E_F)	1.90	states/eV per cell


Version x
YBiPCl2: relaxed, GGA-PBE.

Lattice parameters (Å, degrees): 5.2466 5.2466 5.6284 90.00 90.00 90.00
With the nearest neighbours (Å) after each atom.
Space group P4/mmm (No. 123)
One atom of each set of equivalent atoms:
Y  0.0000  0.0000  0.0000  4 P 3.71, 8 Cl 3.85
Bi  0.5000  0.5000  0.5000  4 Cl 2.62, 2 P 2.81
P  0.5000  0.5000  0.0000  2 Bi 2.81
Cl  0.0000  0.5000  0.5000  2 Bi 2.62

Computed properties:
total magnetic moment	0.8	μB/cell
N(E_F)	3.25	states/eV per cell


Q: Which of them is the most stable? A: version w.


Version w
BiPbCl2: relaxed, GGA-PBE.

Lattice parameters (Å, degrees): 7.5469 7.5469 7.5469 90.00 90.00 90.00
With the nearest neighbours (Å) after each atom.
Space group Fm-3m (No. 225)
One atom of each set of equivalent atoms:
Bi  0.0000  0.0000  0.0000  8 Cl 3.27
Pb  0.0000  0.0000  0.5000  8 Cl 3.27
Cl  0.2500  0.2500  0.2500  4 Pb 3.27, 4 Bi 3.27

Computed properties:
total magnetic moment	0.0	μB/cell
N(E_F)	22.16	states/eV per cell


Version x
BiPbCl2: relaxed, GGA-PBE.

Lattice parameters (Å, degrees): 3.6078 3.6078 30.7183 90.00 90.00 120.00
With the nearest neighbours (Å) after each atom.
Space group R-3m (No. 166, hexagonal axes)
One atom of each set of equivalent atoms:
Bi  0.0000  0.0000  0.0000  2 Cl 2.71
Pb  0.0000  0.0000  0.5000  6 Cl 3.18
Cl  0.0000  0.0000  0.0883  1 Bi 2.71

Computed properties:
total magnetic moment	0.0	μB/cell
N(E_F)	6.46	states/eV per cell


Version y
BiPbCl2: relaxed, GGA-PBE.

Lattice parameters (Å, degrees): 8.2944 8.2944 6.8295 90.00 90.00 90.00
With the nearest neighbours (Å) after each atom.
Space group I-42d (No. 122)
One atom of each set of equivalent atoms:
Bi  0.0000  0.0000  0.0000  4 Cl 3.05, 2 Pb 3.41
Pb  0.0000  0.0000  0.5000  4 Cl 3.06, 2 Bi 3.41
Cl  0.2491  0.2500  0.1250  2 Bi 3.05, 2 Pb 3.06, 2 Cl 3.41

Computed properties:
total magnetic moment	0.0	μB/cell
N(E_F)	7.63	states/eV per cell


Q: Which of them is the most stable? A: version x.


Version w
BiPbSCl2: relaxed, GGA-PBE.

Lattice parameters (Å, degrees): 5.4217 5.4217 5.3989 90.00 90.00 90.00
With the nearest neighbours (Å) after each atom.
Space group P4/mmm (No. 123)
One atom of each set of equivalent atoms:
Bi  0.0000  0.0000  0.0000  2 S 2.70, 4 Cl 2.71
Pb  0.5000  0.5000  0.5000  8 Cl 3.83, 4 S 3.83
S  0.0000  0.0000  0.5000  2 Bi 2.70
Cl  0.0000  0.5000  0.0000  2 Bi 2.71

Computed properties:
total magnetic moment	0.8	μB/cell
N(E_F)	2.71	states/eV per cell


Version x
BiPbSCl2: relaxed, GGA-PBE.

Lattice parameters (Å, degrees): 5.4802 5.4802 5.6513 90.00 90.00 90.00
With the nearest neighbours (Å) after each atom.
Space group P4/mmm (No. 123)
One atom of each set of equivalent atoms:
Bi  0.0000  0.0000  0.0000  4 S 3.88, 8 Cl 3.94
Pb  0.5000  0.5000  0.5000  4 Cl 2.74, 2 S 2.83
S  0.5000  0.5000  0.0000  2 Pb 2.83
Cl  0.0000  0.5000  0.5000  2 Pb 2.74

Computed properties:
total magnetic moment	1.4	μB/cell
N(E_F)	3.58	states/eV per cell


Q: Which of them is the most stable? A: version w.


Version w
PrBiCl: relaxed, GGA-PBE.

Lattice parameters (Å, degrees): 8.1144 6.4591 7.5752 90.00 104.10 90.00
With the nearest neighbours (Å) after each atom.
Space group P2_1/c (No. 14)
One atom of each set of equivalent atoms:
Pr  0.2355  0.1103  0.0429  3 Cl 2.84-2.98
Bi  0.0733  0.6299  0.8631  1 Bi 3.12, 3 Pr 3.24-3.46
Cl  0.4711  0.1745  0.8250  3 Pr 2.84-2.98

Computed properties:
total magnetic moment	0.0	μB/cell
N(E_F)	0.30	states/eV per cell


Version x
PrBiCl: relaxed, GGA-PBE.

Lattice parameters (Å, degrees): 5.0868 5.0868 3.8806 90.00 90.00 120.00
With the nearest neighbours (Å) after each atom.
Space group P-6m2 (No. 187)
One atom of each set of equivalent atoms:
Pr  0.0000  0.0000  0.0000  3 Cl 2.94
Bi  0.6667  0.3333  0.5000  6 Pr 3.52, 6 Cl 3.52, 2 Bi 3.88
Cl  0.3333  0.6667  0.0000  3 Pr 2.94

Computed properties:
total magnetic moment	0.0	μB/cell
N(E_F)	2.82	states/eV per cell


Q: Which of them is the most stable? A: version w.


Version w
Bi2PtCl: relaxed, GGA-PBE.

Lattice parameters (Å, degrees): 7.1310 7.1310 7.1310 90.00 90.00 90.00
With the nearest neighbours (Å) after each atom.
Space group Fm-3m (No. 225)
One atom of each set of equivalent atoms:
Bi  0.2500  0.2500  0.2500  4 Cl 3.09, 4 Pt 3.09
Pt  0.0000  0.0000  0.0000  8 Bi 3.09
Cl  0.0000  0.0000  0.5000  8 Bi 3.09

Computed properties:
total magnetic moment	0.0	μB/cell
N(E_F)	10.71	states/eV per cell


Version x
Bi2PtCl: relaxed, GGA-PBE.

Lattice parameters (Å, degrees): 4.2178 4.2178 21.7552 90.00 90.00 120.00
With the nearest neighbours (Å) after each atom.
Space group R-3m (No. 166, hexagonal axes)
One atom of each set of equivalent atoms:
Bi  0.0000  0.0000  0.2293  3 Pt 2.79
Pt  0.0000  0.0000  0.5000  6 Bi 2.79
Cl  0.0000  0.0000  0.0000  6 Bi 3.32

Computed properties:
total magnetic moment	0.0	μB/cell
N(E_F)	4.20	states/eV per cell


Version y
Bi2PtCl: relaxed, GGA-PBE.

Lattice parameters (Å, degrees): 6.7726 6.7726 12.2043 90.00 90.00 90.00
With the nearest neighbours (Å) after each atom.
Space group I-42d (No. 122)
One atom of each set of equivalent atoms:
Bi  0.1991  0.2500  0.1250  2 Pt 2.65
Pt  0.0000  0.0000  0.0000  4 Bi 2.65
Cl  0.0000  0.0000  0.5000  4 Bi 3.06

Computed properties:
total magnetic moment	0.0	μB/cell
N(E_F)	8.89	states/eV per cell


Version z
Bi2PtCl: relaxed, GGA-PBE.

Lattice parameters (Å, degrees): 4.2583 4.2583 21.7360 90.00 90.00 120.00
With the nearest neighbours (Å) after each atom.
Space group R3m (No. 160, hexagonal axes)
One atom of each set of equivalent atoms:
Bi  0.0000  0.0000  0.0000  3 Pt 2.79
Bi  0.0000  0.0000  0.2111  3 Pt 2.80
Pt  0.0000  0.0000  0.6056  6 Bi 2.79-2.80
Cl  0.0000  0.0000  0.7754  6 Bi 3.32-3.41, 1 Pt 3.69

Computed properties:
total magnetic moment	0.0	μB/cell
N(E_F)	3.12	states/eV per cell


Q: Which of them is the most stable? A: version x.


Version w
BiPtCl2: relaxed, GGA-PBE.

Lattice parameters (Å, degrees): 10.0615 10.0615 5.2699 90.00 90.00 90.00
With the nearest neighbours (Å) after each atom.
Space group I4_1/amd (No. 141, origin choice 2)
One atom of each set of equivalent atoms:
Bi  0.0000  0.2500  0.3750  2 Pt 2.63
Pt  0.0000  0.2500  0.8750  4 Cl 2.60, 2 Bi 2.63
Cl  0.0000  0.0000  0.0000  2 Pt 2.60

Computed properties:
total magnetic moment	0.0	μB/cell
N(E_F)	7.50	states/eV per cell


Version x
BiPtCl2: relaxed, GGA-PBE.

Lattice parameters (Å, degrees): 3.4064 3.4064 27.6410 90.00 90.00 120.00
With the nearest neighbours (Å) after each atom.
Space group R-3m (No. 166, hexagonal axes)
One atom of each set of equivalent atoms:
Bi  0.0000  0.0000  0.0000  6 Cl 3.05, 6 Bi 3.41
Pt  0.0000  0.0000  0.5000  2 Cl 2.28
Cl  0.0000  0.0000  0.4175  1 Pt 2.28

Computed properties:
total magnetic moment	0.0	μB/cell
N(E_F)	6.48	states/eV per cell


Q: Which of them is the most stable? A: version x.


Version w
Bi3PtCl: relaxed, GGA-PBE.

Lattice parameters (Å, degrees): 10.5303 16.9562 6.8550 90.00 100.32 90.00
With the nearest neighbours (Å) after each atom.
Space group C2/c (No. 15)
One atom of each set of equivalent atoms:
Bi  0.1012  0.2277  0.0124  1 Pt 2.85
Bi  0.1422  0.3572  0.6362  2 Pt 2.80-2.81, 1 Cl 2.99
Bi  0.1920  0.4274  0.1167  3 Pt 2.78-3.08, 1 Cl 2.86
Pt  0.0000  0.3415  0.2500  6 Bi 2.78-2.85, 1 Pt 2.97
Pt  0.0000  0.4835  0.7500  6 Bi 2.80-3.08, 1 Pt 2.97
Cl  0.1295  0.0782  0.5156  2 Bi 2.86-2.99

Computed properties:
total magnetic moment	0.0	μB/cell
N(E_F)	5.44	states/eV per cell


Version x
Bi3PtCl: relaxed, GGA-PBE.

Lattice parameters (Å, degrees): 5.5005 5.5005 5.5005 90.00 90.00 90.00
With the nearest neighbours (Å) after each atom.
Space group Pm-3m (No. 221)
One atom of each set of equivalent atoms:
Bi  0.0000  0.0000  0.5000  2 Pt 2.75
Pt  0.0000  0.0000  0.0000  6 Bi 2.75
Cl  0.5000  0.5000  0.5000  12 Bi 3.89

Computed properties:
total magnetic moment	1.3	μB/cell
N(E_F)	5.51	states/eV per cell


Version y
Bi3PtCl: relaxed, GGA-PBE.

Lattice parameters (Å, degrees): 5.3628 5.3628 5.3628 90.00 90.00 90.00
With the nearest neighbours (Å) after each atom.
Space group Pm-3m (No. 221)
One atom of each set of equivalent atoms:
Bi  0.0000  0.0000  0.5000  2 Cl 2.68
Pt  0.5000  0.5000  0.5000  12 Bi 3.79
Cl  0.0000  0.0000  0.0000  6 Bi 2.68

Computed properties:
total magnetic moment	0.0	μB/cell
N(E_F)	4.97	states/eV per cell


Q: Which of them is the most stable? A: version w.